# 1
Below is Lu3Ta5N12 after structural relaxation, with properties calculated at the PBE level.

Structure (CIF):
```
data_Lu3Ta5N12
_chemical_formula_sum 'Lu24 Ta40 N96'
_symmetry_space_group_name_H-M 'I a -3 d'
_symmetry_Int_Tables_number 230
_symmetry_space_group_name_Hall '-I 4bd 2c 3'
_cell_length_a 12.8131
_cell_length_b 12.8131
_cell_length_c 12.8131
_cell_angle_alpha 90.00
_cell_angle_beta 90.00
_cell_angle_gamma 90.00
loop_
_atom_site_label
_atom_site_fract_x
_atom_site_fract_y
_atom_site_fract_z
_atom_site_occupancy
Lu1 0.0000 0.2500 0.1250 1
Ta1 0.0000 0.0000 0.0000 1
Ta2 0.0000 0.2500 0.3750 1
N1 0.0282 0.0583 0.6499 1
```

Properties
DOS at the Fermi energy in states/eV/f.u.: 16.366
ΔE_f (raw) in meV/atom: -1086.1
DFT total energy in eV/atom: -9.723

=====

# 2
Below is K3AcNp2Te6 after structural relaxation, with properties calculated at the PBE level.

Structure (CIF):
```
data_K3AcNp2Te6
_chemical_formula_sum 'K6 Ac2 Np4 Te12'
_symmetry_space_group_name_H-M 'C 1 2/m 1'
_symmetry_Int_Tables_number 12
_cell_length_a 8.0862
_cell_length_b 14.0085
_cell_length_c 8.6653
_cell_angle_alpha 90.00
_cell_angle_beta 108.19
_cell_angle_gamma 90.00
loop_
_symmetry_equiv_pos_as_xyz
'x,y,z'
'-x,-y,-z'
'-x,y,-z'
'x,-y,z'
'x+1/2,y+1/2,z'
'-x+1/2,-y+1/2,-z'
'-x+1/2,y+1/2,-z'
'x+1/2,-y+1/2,z'
loop_
_atom_site_label
_atom_site_fract_x
_atom_site_fract_y
_atom_site_fract_z
_atom_site_occupancy
K1 0.0000 0.0000 0.0000 1
K2 0.0000 0.3371 0.0000 1
Ac1 0.0000 0.5000 0.5000 1
Np1 0.0000 0.1671 0.5000 1
Te1 0.2230 0.0000 0.7139 1
Te2 0.2461 0.3259 0.7146 1
```

Properties
DOS at the Fermi energy in states/eV/f.u.: 18.164
ΔE_f (raw) in meV/atom: -1079.5
DFT total energy in eV/atom: -5.424

=====

# 3
Below is Be2CuSe after structural relaxation, with properties calculated at the PBE level.

Structure (CIF):
```
data_Be2CuSe
_chemical_formula_sum 'Be2 Cu1 Se1'
_symmetry_space_group_name_H-M 'P 4 m m'
_symmetry_Int_Tables_number 99
_cell_length_a 2.7027
_cell_length_b 2.7027
_cell_length_c 7.6818
_cell_angle_alpha 90.00
_cell_angle_beta 90.00
_cell_angle_gamma 90.00
loop_
_symmetry_equiv_pos_as_xyz
'x,y,z'
'-y,x,z'
'-x,-y,z'
'y,-x,z'
'-x,y,z'
'y,x,z'
'x,-y,z'
'-y,-x,z'
loop_
_atom_site_label
_atom_site_fract_x
_atom_site_fract_y
_atom_site_fract_z
_atom_site_occupancy
Be1 0.0000 0.0000 0.0000 1
Be2 0.5000 0.5000 0.1287 1
Cu1 0.0000 0.0000 0.3132 1
Se1 0.5000 0.5000 0.5894 1
```

Properties
DOS at the Fermi energy in states/eV/f.u.: 1.400
ΔE_f (raw) in meV/atom: 350.0
DFT total energy in eV/atom: -3.408

=====

Repeat the first record exactly.
Below is Lu3Ta5N12 after structural relaxation, with properties calculated at the PBE level.

Structure (CIF):
```
data_Lu3Ta5N12
_chemical_formula_sum 'Lu24 Ta40 N96'
_symmetry_space_group_name_H-M 'I a -3 d'
_symmetry_Int_Tables_number 230
_symmetry_space_group_name_Hall '-I 4bd 2c 3'
_cell_length_a 12.8131
_cell_length_b 12.8131
_cell_length_c 12.8131
_cell_angle_alpha 90.00
_cell_angle_beta 90.00
_cell_angle_gamma 90.00
loop_
_atom_site_label
_atom_site_fract_x
_atom_site_fract_y
_atom_site_fract_z
_atom_site_occupancy
Lu1 0.0000 0.2500 0.1250 1
Ta1 0.0000 0.0000 0.0000 1
Ta2 0.0000 0.2500 0.3750 1
N1 0.0282 0.0583 0.6499 1
```

Properties
DOS at the Fermi energy in states/eV/f.u.: 16.366
ΔE_f (raw) in meV/atom: -1086.1
DFT total energy in eV/atom: -9.723